[1]
Pa2InBi2: relaxed, GGA-PBE.

```
10
Lattice="-5.1454 0.9047 -0.9792 1.7075 -4.9572 0.8739 -1.9680 1.3681 11.6059" Properties=species:S:1:pos:R:3 pbc="T T T"
Pa -1.7846 -2.1635 7.3791
Pa -3.0849 -0.8936 0.9584
Pa -3.6213 -0.5208 4.1216
Pa -2.3210 -1.7907 10.5422
In -0.4920 0.3420 2.9015
In -1.4760 1.0261 8.7044
Bi -4.3371 -0.0231 8.3430
Bi 0.0000 0.0000 0.0000
Bi -0.9840 0.6841 5.8030
Bi -1.0688 -2.6612 3.1577
```

Values from the calculation:
- Crystal system: hexagonal
- E_tot: -5.770 eV/atom

***

[2]
PaInBi: relaxed, GGA-PBE.

```
6
Lattice="-0.9697 4.0975 2.9198 0.3272 -0.3538 5.1012 8.3342 3.5479 2.2849" Properties=species:S:1:pos:R:3 pbc="T T T"
Pa 1.7332 1.7719 2.5851
Pa 5.9585 5.5197 7.7208
Bi 6.9438 4.4793 5.0120
Bi 0.7479 2.8122 5.2938
In 2.8662 4.6877 7.8614
In 4.8255 2.6039 2.4445
```

Values from the calculation:
- Crystal system: trigonal
- E_tot: -5.134 eV/atom

***

[3]
Pa2In2Bi7: relaxed, GGA-PBE.

```
11
Lattice="6.6280 -0.0022 -0.4492 0.0044 8.9775 0.0036 -0.8613 -0.0030 6.5871" Properties=species:S:1:pos:R:3 pbc="T T T"
Pa 4.4078 8.9749 1.6444
Pa 1.3632 -0.0026 4.4971
In 4.7189 4.4844 5.0221
In 1.0522 4.4878 1.1194
Bi 6.1969 2.3586 2.8475
Bi 2.4582 6.6110 6.3638
Bi -0.4259 6.6136 3.2940
Bi 3.3129 2.3612 -0.2222
Bi 0.0000 0.0000 0.0000
Bi 2.8880 6.4567 3.0701
Bi 2.8831 2.5155 3.0714
```

Values from the calculation:
- Crystal system: orthorhombic
- E_tot: -4.563 eV/atom

***

[4]
PaInBi: relaxed, GGA-PBE.

```
6
Lattice="-2.9868 1.0946 -3.2047 1.4183 -3.4105 -2.4868 -6.2729 -3.1743 4.7623" Properties=species:S:1:pos:R:3 pbc="T T T"
Pa -1.7741 -0.6274 -0.1514
Pa -6.0674 -4.8628 -0.7778
In -2.8445 -3.8933 -0.2693
In -4.9970 -1.5969 -0.6599
Bi -5.4284 -3.8323 2.1598
Bi -2.4130 -1.6578 -3.0890
```

Values from the calculation:
- Crystal system: orthorhombic
- E_tot: -5.446 eV/atom